First-principles (PBE) data for a relaxed structure of CsPrRe2O8, as listed in Alexandria via LeMat-Bulk.

Symmetry = P-3m1
Total DFT energy (no corrections) = -7.84 eV per atom
V = 284 Å³/cell
Energy relative to the elements, uncorrected = -1985.6 meV/atom

abc: 6.202 6.202 8.538
angles: 90.00 90.00 120.00
Site moments in Bohr magnetons follow the coordinates.
Fractional coordinates of all 12 atoms:
O  0.825  0.650  0.329  -0.04
O  0.333  0.667  0.950  -0.07
O  0.667  0.333  0.050  -0.07
O  0.650  0.824  0.671  -0.04
O  0.176  0.825  0.671  -0.04
O  0.350  0.176  0.329  -0.04
O  0.175  0.350  0.671  -0.04
O  0.824  0.175  0.329  -0.04
Pr  0.000  0.000  0.500  -0.11
Re  0.333  0.667  0.744  -0.60
Re  0.667  0.333  0.256  -0.60
Cs  0.000  0.000  0.000  0.00


First-principles (PBE) data for a relaxed structure of Li4PrZn, as listed in Alexandria via LeMat-Bulk.

Symmetry = F-43m
Total DFT energy (no corrections) = -2.28 eV per atom
Energy relative to the elements = 1 meV/atom
V = 118 Å³/cell

abc: 5.509 5.509 5.509
angles: 60.00 60.00 60.00
Fractional coordinates of all 6 atoms:
Pr  0.250  0.250  0.250
Zn  0.000  0.000  0.000
Li  0.627  0.118  0.627
Li  0.627  0.627  0.118
Li  0.627  0.627  0.627
Li  0.118  0.627  0.627


First-principles (PBE) data for a relaxed structure of BaTlPd2, as listed in Alexandria via LeMat-Bulk.

Symmetry = Cmmm
Total DFT energy (no corrections) = -3.76 eV per atom
Energy relative to the elements = -91 meV/atom
V = 114 Å³/cell

abc: 4.500 6.570 5.053
angles: 130.55 90.01 90.00
Fractional coordinates of all 4 atoms:
Pd  0.000  0.802  0.604
Pd  0.000  0.198  0.396
Tl  0.500  0.000  0.000
Ba  0.500  0.500  0.000